A plane-wave DFT calculation with PBE was carried out for an optimized crystal structure of DyAgGeTe2Se.

Lattice parameters (Å, degrees): 7.4830 7.4830 10.4628 90.00 90.00 147.36
Sites, in units of the cell vectors:
1 Ag 0.9826 0.0174 0.2500
2 Ag 0.0174 0.9826 0.7500
3 Dy 0.5000 0.5000 0.0000
4 Dy 0.5000 0.5000 0.5000
5 Ge 0.2590 0.7410 0.2500
6 Ge 0.7410 0.2590 0.7500
7 Se 0.5956 0.4044 0.2500
8 Se 0.4044 0.5956 0.7500
9 Te 0.8451 0.1549 0.0615
10 Te 0.8451 0.1549 0.4385
11 Te 0.1549 0.8451 0.5615
12 Te 0.1549 0.8451 0.9385

space-group type = Cmcm, No. 63
calculated density = 7.12 g/cm3
E = -4.226 eV/atom

=====

A plane-wave DFT calculation with PBE was carried out for an optimized crystal structure of DyAgGeTeSe2.

Lattice parameters (Å, degrees): 7.0997 7.0997 11.1907 90.00 90.00 146.96
Sites, in units of the cell vectors:
1 Ag 0.4765 0.5235 0.2500
2 Ag 0.5235 0.4765 0.7500
3 Dy 0.0000 0.0000 0.0000
4 Dy 0.0000 0.0000 0.5000
5 Ge 0.7945 0.2055 0.2500
6 Ge 0.2055 0.7945 0.7500
7 Se 0.3582 0.6418 0.0654
8 Se 0.3582 0.6418 0.4346
9 Se 0.6418 0.3582 0.5654
10 Se 0.6418 0.3582 0.9346
11 Te 0.1207 0.8793 0.2500
12 Te 0.8793 0.1207 0.7500

space-group type = Cmcm, No. 63
calculated density = 6.79 g/cm3
E = -4.385 eV/atom

=====

A plane-wave DFT calculation with PBE was carried out for an optimized crystal structure of Dy3Si2Ag4Ge2.

Lattice parameters (Å, degrees): 8.3136 8.3136 8.3136 150.09 129.62 59.70
Sites, in units of the cell vectors:
1 Ag 0.3711 0.1733 0.1978
2 Ag 0.0245 0.8267 0.1978
3 Ag 0.9755 0.1733 0.8022
4 Ag 0.6289 0.8267 0.8022
5 Dy 0.3743 0.3743 0.0000
6 Dy 0.6257 0.6257 0.0000
7 Dy 0.0000 0.5000 0.5000
8 Ge 0.3145 0.0000 0.3145
9 Ge 0.6855 0.0000 0.6855
10 Si 0.7837 0.2837 0.5000
11 Si 0.2163 0.7163 0.5000

space-group type = Immm, No. 71
calculated density = 8.50 g/cm3
E = -4.623 eV/atom

=====

A plane-wave DFT calculation with PBE was carried out for an optimized crystal structure of TbDy2Ag4Ge4.

Lattice parameters (Å, degrees): 8.3837 8.3837 8.3837 150.04 129.58 59.76
Sites, in units of the cell vectors:
1 Ag 0.6336 0.3311 0.3025
2 Ag 0.9714 0.6689 0.3025
3 Ag 0.0286 0.3311 0.6975
4 Ag 0.3664 0.6689 0.6975
5 Dy 0.6264 0.1264 0.5000
6 Dy 0.3736 0.8736 0.5000
7 Ge 0.2172 0.2172 0.0000
8 Ge 0.7828 0.7828 0.0000
9 Ge 0.6835 0.5000 0.1835
10 Ge 0.3165 0.5000 0.8165
11 Tb 0.0000 0.0000 0.0000

space-group type = Immm, No. 71
calculated density = 8.90 g/cm3
E = -4.495 eV/atom

=====

A plane-wave DFT calculation with PBE was carried out for an optimized crystal structure of DyTm2Ag4Ge4.

Lattice parameters (Å, degrees): 8.3361 8.3361 8.3361 150.16 129.15 60.08
Sites, in units of the cell vectors:
1 Ag 0.6322 0.3307 0.3015
2 Ag 0.9709 0.6693 0.3015
3 Ag 0.3678 0.6693 0.6985
4 Ag 0.0291 0.3307 0.6985
5 Dy 0.0000 0.0000 0.0000
6 Ge 0.2176 0.2176 0.0000
7 Ge 0.7824 0.7824 0.0000
8 Ge 0.6827 0.5000 0.1827
9 Ge 0.3173 0.5000 0.8173
10 Tm 0.6252 0.1252 0.5000
11 Tm 0.3748 0.8748 0.5000

space-group type = Immm, No. 71
calculated density = 9.16 g/cm3
E = -4.442 eV/atom

=====

A plane-wave DFT calculation with PBE was carried out for an optimized crystal structure of Dy2TmAg4Ge4.

Lattice parameters (Å, degrees): 8.3627 8.3627 8.3627 149.91 129.58 59.84
Sites, in units of the cell vectors:
1 Ag 0.6323 0.3305 0.3018
2 Ag 0.9714 0.6695 0.3018
3 Ag 0.0286 0.3305 0.6982
4 Ag 0.3677 0.6695 0.6982
5 Dy 0.6256 0.1256 0.5000
6 Dy 0.3744 0.8744 0.5000
7 Ge 0.2157 0.2157 0.0000
8 Ge 0.7843 0.7843 0.0000
9 Ge 0.6852 0.5000 0.1852
10 Ge 0.3148 0.5000 0.8148
11 Tm 0.0000 0.0000 0.0000

space-group type = Immm, No. 71
calculated density = 9.01 g/cm3
E = -4.455 eV/atom

=====

A plane-wave DFT calculation with PBE was carried out for an optimized crystal structure of DyTmAg2Ge2.

Lattice parameters (Å, degrees): 4.4893 4.4893 7.2263 90.00 90.00 120.00
Sites, in units of the cell vectors:
1 Ag 0.6667 0.3333 0.4537
2 Ag 0.3333 0.6667 0.9613
3 Dy 0.0000 0.0000 0.7479
4 Ge 0.6667 0.3333 0.0460
5 Ge 0.3333 0.6667 0.5427
6 Tm 0.0000 0.0000 0.2484

space-group type = P3m1, No. 156
calculated density = 9.12 g/cm3
E = -4.591 eV/atom

=====

A plane-wave DFT calculation with PBE was carried out for an optimized crystal structure of DyY2Ag4Ge4.

Lattice parameters (Å, degrees): 8.3816 8.3816 8.3816 149.97 129.67 59.73
Sites, in units of the cell vectors:
1 Ag 0.6335 0.3309 0.3026
2 Ag 0.9717 0.6691 0.3026
3 Ag 0.0283 0.3309 0.6974
4 Ag 0.3665 0.6691 0.6974
5 Dy 0.0000 0.0000 0.0000
6 Ge 0.2166 0.2166 0.0000
7 Ge 0.7834 0.7834 0.0000
8 Ge 0.6847 0.5000 0.1847
9 Ge 0.3153 0.5000 0.8153
10 Y 0.6260 0.1260 0.5000
11 Y 0.3740 0.8740 0.5000

space-group type = Immm, No. 71
calculated density = 7.84 g/cm3
E = -4.833 eV/atom